No. 1
# Tb3Tm8Sc, optimized geometry, DFT PBE
data_Tb3Tm8Sc
_chemical_formula_sum 'Tb6 Tm16 Sc2'
_cell_length_a 7.552
_cell_length_b 7.552
_cell_length_c 15.136
_cell_angle_alpha 90.00
_cell_angle_beta 90.00
_cell_angle_gamma 90.00
_symmetry_space_group_name_H-M 'I 4/m m m'
_symmetry_Int_Tables_number 139
_symmetry_space_group_name_Hall '-I 4 2'
loop_
_atom_site_label
_atom_site_type_symbol
_atom_site_fract_x
_atom_site_fract_y
_atom_site_fract_z
Tb1 Tb 0.000 0.000 0.000
Tb2 Tb 0.000 0.500 0.250
Tm1 Tm 0.245 0.245 0.378
Sc1 Sc 0.000 0.000 0.500
# energy of formation = 0.73 eV per atom
# E_tot = -94.49 eV per cell



No. 2
# TbTmSc2, optimized geometry, DFT PBE
data_TbTmSc2
_chemical_formula_sum 'Tb4 Tm4 Sc8'
_cell_length_a 7.620
_cell_length_b 7.620
_cell_length_c 7.620
_cell_angle_alpha 90.00
_cell_angle_beta 90.00
_cell_angle_gamma 90.00
_symmetry_space_group_name_H-M 'F m -3 m'
_symmetry_Int_Tables_number 225
_symmetry_space_group_name_Hall '-F 4 2 3'
loop_
_atom_site_label
_atom_site_type_symbol
_atom_site_fract_x
_atom_site_fract_y
_atom_site_fract_z
Tb1 Tb 0.000 0.000 0.000
Tm1 Tm 0.000 0.000 0.500
Sc1 Sc 0.250 0.250 0.250
# E above lowest polymorph = 0.0397 eV per atom
# energy of formation = 0.09 eV per atom
# E_tot = -85.59 eV per cell



No. 3
# Tb8Tm2Sc, optimized geometry, DFT PBE
data_Tb8Tm2Sc
_chemical_formula_sum 'Tb16 Tm4 Sc2'
_cell_length_a 5.514
_cell_length_b 7.952
_cell_length_c 15.776
_cell_angle_alpha 90.00
_cell_angle_beta 90.00
_cell_angle_gamma 90.00
_symmetry_space_group_name_H-M 'I m m m'
_symmetry_Int_Tables_number 71
_symmetry_space_group_name_Hall '-I 2 2'
loop_
_atom_site_label
_atom_site_type_symbol
_atom_site_fract_x
_atom_site_fract_y
_atom_site_fract_z
Tb1 Tb 0.000 0.000 0.165
Tb2 Tb 0.000 0.209 0.367
Tb3 Tb 0.000 0.286 0.000
Tm1 Tm 0.000 0.500 0.200
Sc1 Sc 0.000 0.500 0.500
# E above lowest polymorph = 0.0000 eV per atom
# energy of formation = 0.12 eV per atom
# E_tot = -102.09 eV per cell



No. 4
# Tb3TmSc2, optimized geometry, DFT PBE
data_Tb3TmSc2
_chemical_formula_sum 'Tb12 Tm4 Sc8'
_cell_length_a 22.614
_cell_length_b 3.370
_cell_length_c 9.855
_cell_angle_alpha 90.00
_cell_angle_beta 107.89
_cell_angle_gamma 90.00
_symmetry_space_group_name_H-M 'C 1 2/m 1'
_symmetry_Int_Tables_number 12
_symmetry_space_group_name_Hall '-C 2y'
loop_
_atom_site_label
_atom_site_type_symbol
_atom_site_fract_x
_atom_site_fract_y
_atom_site_fract_z
Tb1 Tb 0.059 0.000 0.430
Tb2 Tb 0.070 0.500 0.776
Tb3 Tb 0.197 0.000 0.709
Tm1 Tm 0.186 0.000 0.044
Sc1 Sc 0.073 0.500 0.137
Sc2 Sc 0.192 0.000 0.372
# E above lowest polymorph = 0.0000 eV per atom
# energy of formation = 0.15 eV per atom
# E_tot = -120.50 eV per cell



No. 5
# TbTm4Sc, optimized geometry, DFT PBE
data_TbTm4Sc
_chemical_formula_sum 'Tb4 Tm16 Sc4'
_cell_length_a 8.679
_cell_length_b 14.283
_cell_length_c 6.207
_cell_angle_alpha 90.00
_cell_angle_beta 109.83
_cell_angle_gamma 90.00
_symmetry_space_group_name_H-M 'C 1 2/c 1'
_symmetry_Int_Tables_number 15
_symmetry_space_group_name_Hall '-C 2yc'
loop_
_atom_site_label
_atom_site_type_symbol
_atom_site_fract_x
_atom_site_fract_y
_atom_site_fract_z
Tb1 Tb 0.000 0.087 0.250
Tm1 Tm 0.096 0.307 0.537
Tm2 Tm 0.209 0.126 0.877
Sc1 Sc 0.000 0.499 0.750
# E above lowest polymorph = 0.0401 eV per atom
# energy of formation = 0.14 eV per atom
# E_tot = -111.95 eV per cell



No. 6
# TbTm3Sc, optimized geometry, DFT PBE
data_TbTm3Sc
_chemical_formula_sum 'Tb4 Tm12 Sc4'
_cell_length_a 8.937
_cell_length_b 6.114
_cell_length_c 11.911
_cell_angle_alpha 90.00
_cell_angle_beta 114.82
_cell_angle_gamma 90.00
_symmetry_space_group_name_H-M 'P 1 21/c 1'
_symmetry_Int_Tables_number 14
_symmetry_space_group_name_Hall '-P 2ybc'
loop_
_atom_site_label
_atom_site_type_symbol
_atom_site_fract_x
_atom_site_fract_y
_atom_site_fract_z
Tb1 Tb 0.153 0.167 0.102
Tm1 Tm 0.048 0.664 0.199
Tm2 Tm 0.256 0.669 0.000
Tm3 Tm 0.451 0.669 0.803
Sc1 Sc 0.353 0.164 0.901
# energy of formation = 0.01 eV per atom
# E_tot = -97.28 eV per cell



No. 7
# Tb12TmSc3, optimized geometry, DFT PBE
data_Tb12TmSc3
_chemical_formula_sum 'Tb12 Tm1 Sc3'
_cell_length_a 4.953
_cell_length_b 4.953
_cell_length_c 19.765
_cell_angle_alpha 90.00
_cell_angle_beta 90.00
_cell_angle_gamma 90.00
_symmetry_space_group_name_H-M 'P 4/m m m'
_symmetry_Int_Tables_number 123
_symmetry_space_group_name_Hall '-P 4 2'
loop_
_atom_site_label
_atom_site_type_symbol
_atom_site_fract_x
_atom_site_fract_y
_atom_site_fract_z
Tb1 Tb 0.000 0.000 0.000
Tb2 Tb 0.000 0.000 0.248
Tb3 Tb 0.000 0.000 0.500
Tb4 Tb 0.000 0.500 0.124
Tb5 Tb 0.000 0.500 0.372
Tm1 Tm 0.500 0.500 0.500
Sc1 Sc 0.500 0.500 0.000
Sc2 Sc 0.500 0.500 0.248
# energy of formation = 0.03 eV per atom
# E_tot = -78.49 eV per cell



No. 8
# Tb7Tm12Sc, optimized geometry, DFT PBE
data_Tb7Tm12Sc
_chemical_formula_sum 'Tb21 Tm36 Sc3'
_cell_length_a 18.3942
_cell_length_b 18.3942
_cell_length_c 6.5805
_cell_angle_alpha 90.00
_cell_angle_beta 90.00
_cell_angle_gamma 120.00
_symmetry_space_group_name_H-M 'R -3'
_symmetry_Int_Tables_number 148
_symmetry_space_group_name_Hall '-R 3'
loop_
_atom_site_label
_atom_site_type_symbol
_atom_site_fract_x
_atom_site_fract_y
_atom_site_fract_z
Tb1 Tb 0.0000 0.0000 0.0000
Tb2 Tb 0.0103 0.8551 0.2957
Tm1 Tm 0.0001 0.2135 0.2041
Tm2 Tm 0.0084 0.4728 0.2368
Sc1 Sc 0.0000 0.0000 0.5000
# E above lowest polymorph = 0.0348 eV per atom
# energy of formation = 0.33 eV per atom
# E_tot = -257.60 eV per cell